This record from the Alexandria database describes a relaxed structure of RbTaSnN2. The functional is GGA-PBE.

Cell and atoms, written as POSCAR:
```
RbTaSnN2
1.0
4.318 0.000 0.000
0.000 4.318 0.000
0.000 0.000 5.755
Rb Ta Sn N
1 1 1 2
direct
0.000 0.000 0.000
0.500 0.500 0.000
0.000 0.000 0.500
0.000 0.500 0.500
0.500 0.000 0.500
```

Results
Raw formation energy in eV/atom: 2.67
Density of states at the Fermi level in states/eV/f.u.: 6.7
Space-group type: No. 123
Uncorrected energy in eV per atom: -4.024